VASP calculation (PBE) on crystalline Ta2RhCl at its relaxed geometry.

Cell lengths 6.7554, 6.7554, 6.1661 Å; angles 90.00, 90.00, 90.00 degrees
With the nearest neighbours (Å) after each atom.
Space group I-42d (No. 122)
Unique sites:
Ta 0.2344 0.2500 0.1250 (multiplicity 8)  2 Cl 2.44, 2 Rh 2.58
Rh 0.0000 0.0000 0.5000 (multiplicity 4)  4 Ta 2.58
Cl 0.0000 0.0000 0.0000 (multiplicity 4)  4 Ta 2.44

Properties
Crystal system: tetragonal
Mass density: 11.8 Mg/m³
Energy above the most stable polymorph in this dataset: 574 meV per atom
Final energy: -7.8749 eV per atom
ΔE_f (raw): 0.351 eV/atom
Volume: 17.59 Å³/atom